1.
This record from Alexandria via LeMat-Bulk describes Au3S after structural relaxation. The functional is GGA-PBE.

a b c (Å): 5.873 5.873 4.832
angles (deg): 90.00 90.00 120.00
Fractional positions:
Au 0.166 0.333 0.250
Au 0.166 0.834 0.250
Au 0.333 0.166 0.750
Au 0.667 0.834 0.250
Au 0.834 0.166 0.750
Au 0.834 0.667 0.750
S 0.333 0.667 0.750
S 0.667 0.333 0.250

Calculated values
ΔE_f (raw) = 1.410 eV/f.u.


2.
This record from Alexandria via LeMat-Bulk describes K2Mg3ZnF12 after structural relaxation. The functional is GGA-PBE.

a b c (Å): 7.374 7.374 7.374
angles (deg): 58.73 58.73 58.73
Fractional positions:
K 0.114 0.114 0.114
K 0.886 0.886 0.886
Mg 0.000 0.500 0.500
Mg 0.500 0.000 0.500
Mg 0.500 0.500 0.000
Zn 0.500 0.500 0.500
F 0.173 0.173 0.574
F 0.173 0.574 0.173
F 0.181 0.572 0.572
F 0.426 0.827 0.827
F 0.428 0.428 0.819
F 0.428 0.819 0.428
F 0.572 0.181 0.572
F 0.572 0.572 0.181
F 0.574 0.173 0.173
F 0.819 0.428 0.428
F 0.827 0.426 0.827
F 0.827 0.827 0.426

Calculated values
ΔE_f (raw) = -49.658 eV/f.u.


3.
This record from Alexandria via LeMat-Bulk describes CePr12Dy6 after structural relaxation. The functional is GGA-PBE.

a b c (Å): 9.673 9.673 9.673
angles (deg): 110.94 110.94 110.94
Fractional positions:
Ce 0.000 0.000 0.000
Pr 0.058 0.580 0.373
Pr 0.104 0.156 0.739
Pr 0.156 0.739 0.104
Pr 0.261 0.896 0.844
Pr 0.373 0.058 0.580
Pr 0.420 0.627 0.942
Pr 0.580 0.373 0.058
Pr 0.627 0.942 0.420
Pr 0.739 0.104 0.156
Pr 0.844 0.261 0.896
Pr 0.896 0.844 0.261
Pr 0.942 0.420 0.627
Dy 0.213 0.316 0.470
Dy 0.316 0.470 0.213
Dy 0.470 0.213 0.316
Dy 0.530 0.787 0.684
Dy 0.684 0.530 0.787
Dy 0.787 0.684 0.530

Calculated values
DFT formation energy = 0.03 eV per atom


4.
This record from Alexandria via LeMat-Bulk describes ZrTc2Rh after structural relaxation. The functional is GGA-PBE.

a b c (Å): 2.832 3.944 5.870
angles (deg): 90.00 90.00 90.00
Fractional positions:
Zr 0.000 0.000 0.000
Tc 0.500 0.500 0.285
Tc 0.500 0.500 0.715
Rh 0.000 0.000 0.500

Calculated values
DFT formation energy = 0.01 eV per atom
Relative energy among the computed polymorphs = 178 meV per atom


5.
This record from Alexandria via LeMat-Bulk describes Rb3HoPa2O9 after structural relaxation. The functional is GGA-PBE.

a b c (Å): 6.256 6.256 7.629
angles (deg): 90.00 90.00 120.00
Fractional positions:
Rb 0.000 0.000 0.000
Rb 0.333 0.667 0.664
Rb 0.667 0.333 0.336
Ho 0.000 0.000 0.500
Pa 0.333 0.667 0.171
Pa 0.667 0.333 0.829
O 0.000 0.500 0.000
O 0.172 0.344 0.329
O 0.172 0.828 0.329
O 0.344 0.172 0.671
O 0.500 0.000 0.000
O 0.500 0.500 0.000
O 0.656 0.828 0.329
O 0.828 0.172 0.671
O 0.828 0.656 0.671

Calculated values
ΔE_f (raw) = -41.095 eV/f.u.


| no. | VASP energy (eV per atom) |
| --- | --- |
| 1 | -3.137 |
| 2 | -4.465 |
| 3 | -4.753 |
| 4 | -9.143 |
| 5 | -7.479 |